(1)
The following is a GGA-PBE calculation of a relaxed structure of KHg2WBr, from Alexandria.

Lattice parameters (Å, degrees): 6.2868 6.4665 6.2868 90.00 90.00 90.00
Each line ends with the local moment (μB).
Element x y z (fractional)
Hg 0.5000 0.0000 0.0000  0.01
Br 0.5000 0.5000 0.5000  0.07
W 0.0000 0.5000 0.0000  3.77
K 0.0000 0.0000 0.0000  0.05
Hg 0.0000 0.0000 0.5000  0.02

## Properties
* space-group type: P4/mmm
* E_form (uncorrected): 7.0 eV/f.u.
* ρ: 4.6 Mg/m³

(2)
The following is a GGA-PBE calculation of a relaxed structure of Pm8Ni2Pd, from Alexandria.

Lattice parameters (Å, degrees): 6.1780 7.6681 7.6681 114.19 99.67 99.67
Element x y z (fractional)
Ni 0.4895 0.3111 0.6964
Pm 0.9834 0.2147 0.7851
Pd 0.1609 0.0107 0.0107
Pm 0.5869 0.0852 0.3491
Pm 0.8005 0.6374 0.6374
Pm 0.1731 0.3717 0.3717
Ni 0.4895 0.6964 0.3111
Pm 0.5869 0.3491 0.0852
Pm 0.9834 0.7851 0.2147
Pm 0.3729 0.9183 0.6541
Pm 0.3729 0.6541 0.9183

## Properties
* space-group type: Cm
* ρ: 7.3 Mg/m³
* energy of formation: -0.15 eV per atom
* ΔE to the lowest computed polymorph: 95 meV per atom